1.
CaIn8Rh4: relaxed, PBE.

Values from the calculation:
Final energy ... -4.456 eV per atom
Space group ... I4/mmm
Magnetization ... 0.0 μB/cell
Formation enthalpy at 0 K ... -0.35 eV per atom

Geometry as POSCAR:
```
CaIn8Rh4
1.0
-4.743 4.743 2.929
4.743 -4.743 2.929
4.743 4.743 -2.929
Ca In Rh
1 8 4
Cartesian
0.000 0.000 0.000
3.156 0.000 0.000
6.329 0.000 0.000
4.743 2.624 0.000
0.000 3.156 0.000
2.624 4.743 0.000
2.119 0.000 2.929
0.000 6.329 0.000
0.000 2.119 2.929
2.371 2.371 -1.464
2.371 -2.371 1.464
-2.371 2.371 1.464
2.371 2.371 1.464
```

2.
MnCo2P: relaxed, PBE.

Values from the calculation:
Final energy ... -7.297 eV per atom
Space group ... P4mm
Magnetization ... 3.3 μB/cell
Formation enthalpy at 0 K ... -0.10 eV per atom

Geometry as POSCAR:
```
MnCo2P
1.0
2.740 0.000 0.000
0.000 2.740 0.000
0.000 0.000 5.760
Mn Co P
1 2 1
Cartesian
0.000 0.000 0.000
0.000 0.000 2.599
1.370 1.370 4.183
1.370 1.370 1.263
```

3.
Ce3Re2B9: relaxed, PBE.

Values from the calculation:
Final energy ... -7.608 eV per atom
Space group ... Immm
Magnetization ... 0.0 μB/cell
Formation enthalpy at 0 K ... -0.27 eV per atom

Geometry as POSCAR:
```
Ce3Re2B9
1.0
-1.546 4.254 6.688
1.546 -4.254 6.688
1.546 4.254 -6.688
Ce Re B
3 2 9
Cartesian
0.000 0.000 0.000
0.000 0.000 3.520
0.000 0.000 9.856
1.546 2.807 0.000
0.000 1.447 6.688
1.546 1.598 -1.818
1.546 -2.071 5.014
1.546 1.598 1.818
0.000 2.183 1.674
0.000 4.254 0.000
1.546 2.071 5.014
0.000 2.656 4.870
0.000 6.325 1.674
0.000 2.656 8.506
```